(1)
The following is a PBE-GGA calculation of Y2ZrGeAs after structural relaxation, from the Alexandria database.

## Properties
**Symmetry**: P4/mmm (123)

```
Y2ZrGeAs
1.0
5.4900 0.0000 0.0000
0.0000 5.4900 0.0000
0.0000 0.0000 5.0131
Y Zr Ge As
2 1 1 1
Direct
0.0000 0.5000 0.0000
0.5000 0.0000 0.0000
0.0000 0.0000 0.0000
0.0000 0.0000 0.5000
0.5000 0.5000 0.5000
```

=====

(2)
The following is a PBE-GGA calculation of PmNp5As6 after structural relaxation, from the Alexandria database.

## Properties
**Symmetry**: C2/m (12)

```
PmNp5As6
1.0
3.5722 -6.1914 0.0000
3.5722 6.1914 0.0000
-2.3844 0.0000 6.7479
Pm Np As
1 5 6
Direct
0.0000 0.0000 0.0000
0.1642 0.8358 0.5000
0.3327 0.6673 0.0000
0.5000 0.5000 0.5000
0.6673 0.3327 0.0000
0.8358 0.1642 0.5000
0.0848 0.4243 0.2538
0.2558 0.2558 0.7482
0.4243 0.0848 0.2538
0.5757 0.9152 0.7462
0.7442 0.7442 0.2518
0.9152 0.5757 0.7462
```

=====

Going through the records in order, we get energy of formation values of 257 -950 kJ/mol of formula units.
Going through the records in order, we get theoretical density values of 4.58 9.90 Mg/m³.
Going through the records in order, we get total magnetization values of 0.00 19.32 μB/f.u..